DFT (PBE) results for a relaxed YTc8 crystal.

Cell lengths 6.3089, 6.3089, 6.3089 Å; angles 96.10, 96.10, 141.95 degrees
Fractional positions:
Tc  0.6907  0.3093  0.0000
Tc  0.6463  0.0000  0.6463
Tc  0.0000  0.3537  0.3537
Tc  0.0000  0.6463  0.6463
Tc  0.3093  0.3093  0.6185
Tc  0.3093  0.6907  0.0000
Tc  0.6907  0.6907  0.3815
Tc  0.3537  0.0000  0.3537
Y  0.0000  0.0000  0.0000

Computed properties:
ΔE_f = 0.631 eV/f.u.
space-group type = No. 139
final energy = -9.86 eV per atom

=====

DFT (PBE) results for a relaxed TbY2Pu crystal.

Cell lengths 3.5148, 3.5148, 10.0578 Å; angles 90.00, 90.00, 90.00 degrees
Each line ends with the local moment (μB).
Fractional positions:
Pu  0.5000  0.5000  0.5000  5.60
Tb  0.5000  0.5000  0.0000  -0.11
Y  0.0000  0.0000  0.7449  0.09
Y  0.0000  0.0000  0.2551  0.09

Computed properties:
ΔE_f = 0.438 eV/f.u.
space-group type = No. 123
final energy = -7.86 eV per atom

=====

DFT (PBE) results for a relaxed BC3 crystal.

Cell lengths 2.5448, 2.5448, 13.1763 Å; angles 90.00, 90.00, 120.00 degrees
Fractional positions:
C  0.6667  0.3333  0.8501
C  0.3333  0.6667  0.0459
C  0.0000  0.0000  0.4923
C  0.3333  0.6667  0.1636
C  0.6667  0.3333  0.3182
C  0.0000  0.0000  0.8892
C  0.3333  0.6667  0.5307
C  0.0000  0.0000  0.0072
C  0.6667  0.3333  0.2035
B  0.3333  0.6667  0.6505
B  0.0000  0.0000  0.3690
B  0.6667  0.3333  0.7297

Computed properties:
ΔE_f = 1.087 eV/f.u.
space-group type = No. 156
final energy = -8.32 eV per atom

=====

DFT (PBE) results for a relaxed Ag2Hg4PBr5 crystal.

Cell lengths 6.2997, 7.1442, 9.0573 Å; angles 90.00, 90.00, 116.16 degrees
Fractional positions:
P  0.3342  0.0000  0.0000
Hg  0.1088  0.5896  0.0000
Hg  0.5192  0.4104  0.0000
Hg  0.5934  0.0000  0.2051
Hg  0.5934  0.0000  0.7949
Ag  0.0030  0.6031  0.5000
Ag  0.3999  0.3969  0.5000
Br  0.3822  0.0000  0.5000
Br  0.0275  0.3193  0.2886
Br  0.7083  0.6807  0.2886
Br  0.7083  0.6807  0.7114
Br  0.0275  0.3193  0.7114

Computed properties:
ΔE_f (raw) = -2.57 eV per formula unit
space-group type = No. 38
final energy = -1.94 eV per atom

=====

DFT (PBE) results for a relaxed KRbAgCl4 crystal.

Cell lengths 7.2297, 7.2504, 8.8789 Å; angles 90.00, 114.02, 90.00 degrees
Fractional positions:
Cl  0.0000  0.5000  0.5000
Cl  0.9090  0.2500  0.8180
Cl  0.4140  0.7500  0.8279
Cl  0.0000  0.0000  0.5000
Cl  0.5000  0.0000  0.5000
Cl  0.0910  0.7500  0.1820
Cl  0.5000  0.5000  0.5000
Cl  0.5860  0.2500  0.1721
Ag  0.2519  0.7500  0.5038
Ag  0.7481  0.2500  0.4962
K  0.6120  0.7500  0.2241
K  0.3880  0.2500  0.7759
Rb  0.8916  0.7500  0.7832
Rb  0.1084  0.2500  0.2168

Computed properties:
ΔE_f (raw) = -8.97 eV per formula unit
space-group type = No. 63
final energy = -3.04 eV per atom

=====

DFT (PBE) results for a relaxed Ac6Ge2Se3Br crystal.

Cell lengths 4.5460, 9.0962, 10.1381 Å; angles 102.43, 102.96, 90.00 degrees
Fractional positions:
Ge  0.8356  0.6721  0.6712
Ge  0.1644  0.3279  0.3288
Se  0.1629  0.8356  0.3258
Se  0.8371  0.1644  0.6742
Se  0.5000  0.5000  0.0000
Br  0.5000  0.0000  0.0000
Ac  0.6733  0.0972  0.3466
Ac  0.0046  0.2693  0.0091
Ac  0.3267  0.9028  0.6534
Ac  0.6696  0.5768  0.3392
Ac  0.3304  0.4232  0.6608
Ac  0.9954  0.7307  0.9909

Computed properties:
ΔE_f (raw) = -17.46 eV per formula unit
space-group type = No. 12
final energy = -5.29 eV per atom

=====

DFT (PBE) results for a relaxed SiSbOs2 crystal.

Cell lengths 9.9968, 9.9968, 9.9968 Å; angles 16.69, 16.69, 16.69 degrees
Fractional positions:
Si  0.7296  0.7296  0.7296
Os  0.9971  0.9971  0.9971
Os  0.2588  0.2588  0.2588
Sb  0.5145  0.5145  0.5145

Computed properties:
ΔE_f (raw) = 2.07 eV per formula unit
space-group type = No. 160
final energy = -7.48 eV per atom

=====

DFT (PBE) results for a relaxed Li12Se3Cl5 crystal.

Cell lengths 12.7594, 12.7594, 12.7594 Å; angles 109.47, 109.47, 109.47 degrees
Fractional positions:
Se  0.2500  0.6250  0.8750
Se  0.7500  0.8750  0.6250
Se  0.6250  0.2500  0.3750
Se  0.2500  0.1250  0.3750
Se  0.3750  0.6250  0.2500
Se  0.1250  0.2500  0.8750
Se  0.3750  0.7500  0.6250
Se  0.8750  0.7500  0.1250
Se  0.7500  0.3750  0.1250
Se  0.8750  0.1250  0.2500
Se  0.6250  0.3750  0.7500
Se  0.1250  0.8750  0.7500
Li  0.4443  0.6682  0.0896
Li  0.1453  0.7239  0.5557
Li  0.7761  0.3318  0.9214
Li  0.6682  0.2239  0.5786
Li  0.2761  0.8547  0.9443
Li  0.4104  0.0557  0.3318
Li  0.9104  0.0786  0.8547
Li  0.8318  0.9214  0.2761
Li  0.6453  0.5896  0.9214
Li  0.7239  0.5786  0.1682
Li  0.3318  0.7761  0.4214
Li  0.4104  0.3547  0.5786
Li  0.0786  0.9104  0.3547
Li  0.4214  0.2761  0.3318
Li  0.1453  0.4214  0.0896
Li  0.3547  0.4104  0.0786
Li  0.1682  0.0786  0.7239
Li  0.9214  0.8318  0.7761
Li  0.3318  0.5557  0.4104
Li  0.5557  0.2239  0.1453
Li  0.0896  0.9214  0.1453
Li  0.0896  0.1682  0.4443
Li  0.7761  0.4443  0.3547
Li  0.9214  0.0896  0.6453
Li  0.5786  0.8547  0.4104
Li  0.0786  0.1682  0.2239
Li  0.0557  0.4104  0.8318
Li  0.4443  0.7761  0.8547
Li  0.9443  0.3547  0.2761
Li  0.1682  0.0896  0.9443
Li  0.6453  0.0557  0.2239
Li  0.8547  0.2761  0.4443
Li  0.2239  0.6682  0.0786
Li  0.0557  0.6453  0.7239
Li  0.4214  0.1453  0.5896
Li  0.8318  0.9104  0.0557
Li  0.5896  0.9443  0.6682
Li  0.6682  0.4443  0.5896
Li  0.3547  0.9443  0.7761
Li  0.9104  0.8318  0.5557
Li  0.2239  0.5557  0.6453
Li  0.5557  0.3318  0.9104
Li  0.7239  0.1453  0.0557
Li  0.8547  0.5786  0.9104
Li  0.5786  0.7239  0.6682
Li  0.9443  0.5896  0.1682
Li  0.5896  0.6453  0.4214
Li  0.2761  0.4214  0.8318
Cl  0.0000  0.0000  0.5000
Cl  0.0000  0.5000  0.5000
Cl  0.3750  0.1250  0.7500
Cl  0.6250  0.7500  0.8750
Cl  0.8750  0.2500  0.6250
Cl  0.5000  0.5000  0.5000
Cl  0.2500  0.3750  0.6250
Cl  0.5000  0.0000  0.0000
Cl  0.1250  0.7500  0.3750
Cl  0.3750  0.2500  0.1250
Cl  0.0000  0.5000  0.0000
Cl  0.2500  0.8750  0.1250
Cl  0.7500  0.6250  0.3750
Cl  0.0000  0.0000  0.0000
Cl  0.5000  0.5000  0.0000
Cl  0.6250  0.8750  0.2500
Cl  0.5000  0.0000  0.5000
Cl  0.7500  0.1250  0.8750
Cl  0.8750  0.6250  0.7500
Cl  0.1250  0.3750  0.2500

Computed properties:
ΔE_f (raw) = -27.21 eV per formula unit
space-group type = No. 230
final energy = -3.49 eV per atom

=====

Question: Which formula does entry 5 have?
Answer: KRbAgCl4